No. 1
The following is a DFT calculation (PBE) of crystalline Y3Ho5Pb2 at its relaxed geometry.

The structure in POSCAR format:
```
Y3Ho5Pb2
1.0
-6.387 7.883 3.176
6.387 -7.883 3.176
6.387 7.883 -3.176
Y Ho Pb
6 10 4
Cartesian
1.533 3.368 0.000
0.000 0.000 1.588
7.920 4.516 0.000
-1.533 3.368 3.176
0.000 0.000 4.764
4.854 4.516 3.176
5.082 2.592 0.000
3.224 0.000 1.588
6.387 0.000 1.588
9.550 0.000 1.588
5.082 -2.592 3.176
1.305 10.476 0.000
-3.163 7.883 1.588
0.000 7.883 1.588
3.163 7.883 1.588
1.305 5.291 3.176
4.579 -5.545 3.176
4.579 5.545 0.000
1.808 2.339 3.176
1.808 13.428 0.000
```

Properties
ΔH_f (0 K)	0.05	eV per atom
size of the total moment	0.00	μB/f.u.
SG	Ibam
electronic total energy	-4.924	eV/atom

---

No. 2
The following is a DFT calculation (PBE) of crystalline Y2HoPb at its relaxed geometry.

The structure in POSCAR format:
```
Y2HoPb
1.0
1.771 1.023 12.005
-1.771 1.023 12.005
0.000 -2.045 12.005
Y Ho Pb
2 1 1
Cartesian
0.000 0.000 3.170
0.000 0.000 32.847
0.000 0.000 18.008
0.000 0.000 0.000
```

Properties
ΔH_f (0 K)	0.05	eV per atom
size of the total moment	0.00	μB/f.u.
SG	R-3m
electronic total energy	-5.258	eV/atom

---

No. 3
The following is a DFT calculation (PBE) of crystalline Y6HoPb at its relaxed geometry.

The structure in POSCAR format:
```
Y6HoPb
1.0
4.622 2.668 3.422
-4.622 2.668 3.422
0.000 -5.337 3.422
Y Ho Pb
6 1 1
Cartesian
-3.348 -0.741 4.531
-1.032 -3.270 5.735
-2.316 2.529 5.735
2.316 -2.529 4.531
1.032 3.270 4.531
3.348 0.741 5.735
0.000 0.000 5.133
0.000 0.000 0.000
```

Properties
ΔH_f (0 K)	-0.05	eV per atom
size of the total moment	0.01	μB/f.u.
SG	R-3
electronic total energy	-5.934	eV/atom

---

No. 4
The following is a DFT calculation (PBE) of crystalline YHo3Pb12 at its relaxed geometry.

The structure in POSCAR format:
```
YHo3Pb12
1.0
4.912 0.000 0.000
0.000 4.912 0.000
0.000 0.000 19.235
Y Ho Pb
1 3 12
Cartesian
0.000 0.000 0.000
0.000 0.000 4.815
0.000 0.000 9.617
0.000 0.000 14.420
0.000 2.456 2.419
0.000 2.456 7.217
0.000 2.456 12.018
0.000 2.456 16.816
2.456 0.000 2.419
2.456 0.000 7.217
2.456 0.000 12.018
2.456 0.000 16.816
2.456 2.456 0.000
2.456 2.456 4.819
2.456 2.456 9.617
2.456 2.456 14.416
```

Properties
ΔH_f (0 K)	-0.27	eV per atom
size of the total moment	0.00	μB/f.u.
SG	P4/mmm
electronic total energy	-4.315	eV/atom

---

What is the formula in the first record?
Y3Ho5Pb2

---

Among the records above, which one has the highest size of the total moment?
Y6HoPb